Record 1
# Mg2Zr2Ti | Alexandria via LeMat-Bulk | PBE | relaxed
data_Mg2Zr2Ti
_chemical_formula_sum 'Mg4 Zr4 Ti2'
_cell_length_a 3.061
_cell_length_b 3.061
_cell_length_c 23.214
_cell_angle_alpha 90.00
_cell_angle_beta 90.00
_cell_angle_gamma 90.00
_symmetry_space_group_name_H-M 'I 4/m m m'
_symmetry_Int_Tables_number 139
_symmetry_space_group_name_Hall '-I 4 2'
loop_
_atom_site_label
_atom_site_type_symbol
_atom_site_fract_x
_atom_site_fract_y
_atom_site_fract_z
Mg1 Mg 0.000 0.000 0.198
Zr1 Zr 0.000 0.000 0.410
Ti1 Ti 0.000 0.000 0.000
# calculated volume = 21.75 A^3/atom
# N(E_F) = 7.0 states/eV per cell
# final energy = -5.66 eV/atom
# energy relative to the elements = -20 meV/atom
# E above lowest polymorph = 0.0 meV per atom
# mass density = 4.259 g/cm3

Record 2
# MgZr3Ti | Alexandria via LeMat-Bulk | PBE | relaxed
data_MgZr3Ti
_chemical_formula_sum 'Mg1 Zr3 Ti1'
_cell_length_a 4.996
_cell_length_b 4.996
_cell_length_c 4.996
_cell_angle_alpha 90.00
_cell_angle_beta 90.00
_cell_angle_gamma 90.00
_symmetry_space_group_name_H-M 'P m -3 m'
_symmetry_Int_Tables_number 221
_symmetry_space_group_name_Hall '-P 4 2 3'
loop_
_atom_site_label
_atom_site_type_symbol
_atom_site_fract_x
_atom_site_fract_y
_atom_site_fract_z
Mg1 Mg 0.000 0.000 0.000
Zr1 Zr 0.000 0.500 0.500
Ti1 Ti 0.500 0.500 0.500
# calculated volume = 24.94 A^3/atom
# N(E_F) = 9.2 states/eV per cell
# final energy = -6.33 eV/atom
# energy relative to the elements = 698 meV/atom
# E above lowest polymorph = 669.1 meV per atom
# mass density = 4.606 g/cm3

Record 3
# MgZr3Ti | Alexandria via LeMat-Bulk | PBE | relaxed
data_MgZr3Ti
_chemical_formula_sum 'Mg1 Zr3 Ti1'
_cell_length_a 5.031
_cell_length_b 5.031
_cell_length_c 5.031
_cell_angle_alpha 90.00
_cell_angle_beta 90.00
_cell_angle_gamma 90.00
_symmetry_space_group_name_H-M 'P m -3 m'
_symmetry_Int_Tables_number 221
_symmetry_space_group_name_Hall '-P 4 2 3'
loop_
_atom_site_label
_atom_site_type_symbol
_atom_site_fract_x
_atom_site_fract_y
_atom_site_fract_z
Mg1 Mg 0.000 0.000 0.000
Zr1 Zr 0.000 0.000 0.500
Ti1 Ti 0.500 0.500 0.500
# calculated volume = 25.47 A^3/atom
# N(E_F) = 13.5 states/eV per cell
# final energy = -5.75 eV/atom
# energy relative to the elements = 1280 meV/atom
# E above lowest polymorph = 1250.6 meV per atom
# mass density = 4.510 g/cm3

Record 4
# MgZr2Ti2 | Alexandria via LeMat-Bulk | PBE | relaxed
data_MgZr2Ti2
_chemical_formula_sum 'Mg2 Zr4 Ti4'
_cell_length_a 7.764
_cell_length_b 7.764
_cell_length_c 3.506
_cell_angle_alpha 90.00
_cell_angle_beta 90.00
_cell_angle_gamma 90.00
_symmetry_space_group_name_H-M 'P 4/m b m'
_symmetry_Int_Tables_number 127
_symmetry_space_group_name_Hall '-P 4 2ab'
loop_
_atom_site_label
_atom_site_type_symbol
_atom_site_fract_x
_atom_site_fract_y
_atom_site_fract_z
Mg1 Mg 0.000 0.000 0.000
Zr1 Zr 0.137 0.363 0.000
Ti1 Ti 0.157 0.657 0.500
# calculated volume = 21.14 A^3/atom
# N(E_F) = 15.5 states/eV per cell
# final energy = -6.66 eV/atom
# energy relative to the elements = 238 meV/atom
# E above lowest polymorph = 130.0 meV per atom
# mass density = 4.753 g/cm3

Record 5
# Mg2Zr2Ti | Alexandria via LeMat-Bulk | PBE | relaxed
data_Mg2Zr2Ti
_chemical_formula_sum 'Mg4 Zr4 Ti2'
_cell_length_a 8.149
_cell_length_b 8.149
_cell_length_c 3.259
_cell_angle_alpha 90.00
_cell_angle_beta 90.00
_cell_angle_gamma 90.00
_symmetry_space_group_name_H-M 'P 4/m b m'
_symmetry_Int_Tables_number 127
_symmetry_space_group_name_Hall '-P 4 2ab'
loop_
_atom_site_label
_atom_site_type_symbol
_atom_site_fract_x
_atom_site_fract_y
_atom_site_fract_z
Mg1 Mg 0.125 0.375 0.000
Zr1 Zr 0.174 0.674 0.500
Ti1 Ti 0.000 0.000 0.000
# calculated volume = 21.64 A^3/atom
# N(E_F) = 10.3 states/eV per cell
# final energy = -5.27 eV/atom
# energy relative to the elements = 370 meV/atom
# E above lowest polymorph = 389.4 meV per atom
# mass density = 4.281 g/cm3

Record 6
# MgZr2Ti2 | Alexandria via LeMat-Bulk | PBE | relaxed
data_MgZr2Ti2
_chemical_formula_sum 'Mg2 Zr4 Ti4'
_cell_length_a 7.507
_cell_length_b 7.507
_cell_length_c 3.688
_cell_angle_alpha 90.00
_cell_angle_beta 90.00
_cell_angle_gamma 90.00
_symmetry_space_group_name_H-M 'P 4/m b m'
_symmetry_Int_Tables_number 127
_symmetry_space_group_name_Hall '-P 4 2ab'
loop_
_atom_site_label
_atom_site_type_symbol
_atom_site_fract_x
_atom_site_fract_y
_atom_site_fract_z
Mg1 Mg 0.000 0.000 0.000
Zr1 Zr 0.163 0.337 0.500
Ti1 Ti 0.129 0.629 0.000
# calculated volume = 20.78 A^3/atom
# N(E_F) = 13.1 states/eV per cell
# final energy = -6.79 eV/atom
# energy relative to the elements = 109 meV/atom
# E above lowest polymorph = 0.0 meV per atom
# mass density = 4.834 g/cm3

Record 7
# Mg3Tl | Alexandria via LeMat-Bulk | PBE | relaxed
data_Mg3Tl
_chemical_formula_sum 'Mg6 Tl2'
_cell_length_a 5.593
_cell_length_b 10.339
_cell_length_c 3.300
_cell_angle_alpha 90.00
_cell_angle_beta 90.00
_cell_angle_gamma 90.00
_symmetry_space_group_name_H-M 'P n n m'
_symmetry_Int_Tables_number 58
_symmetry_space_group_name_Hall '-P 2 2n'
loop_
_atom_site_label
_atom_site_type_symbol
_atom_site_fract_x
_atom_site_fract_y
_atom_site_fract_z
Mg1 Mg 0.000 0.000 0.000
Mg2 Mg 0.165 0.250 0.500
Tl1 Tl 0.000 0.500 0.000
# calculated volume = 23.86 A^3/atom
# N(E_F) = 2.9 states/eV per cell
# final energy = -1.81 eV/atom
# energy relative to the elements = -18 meV/atom
# mass density = 4.825 g/cm3

Record 8
# Mg3Tl | Alexandria via LeMat-Bulk | PBE | relaxed
data_Mg3Tl
_chemical_formula_sum 'Mg9 Tl3'
_cell_length_a 3.2853
_cell_length_b 3.2853
_cell_length_c 31.3865
_cell_angle_alpha 90.00
_cell_angle_beta 90.00
_cell_angle_gamma 120.00
_symmetry_space_group_name_H-M 'R -3 m'
_symmetry_Int_Tables_number 166
_symmetry_space_group_name_Hall '-R 3 2"'
loop_
_atom_site_label
_atom_site_type_symbol
_atom_site_fract_x
_atom_site_fract_y
_atom_site_fract_z
Mg1 Mg 0.0000 0.0000 0.0000
Mg2 Mg 0.0000 0.0000 0.2502
Tl1 Tl 0.0000 0.0000 0.5000
# calculated volume = 24.45 A^3/atom
# N(E_F) = 5.4 states/eV per cell
# final energy = -1.77 eV/atom
# energy relative to the elements = 22 meV/atom
# mass density = 4.709 g/cm3